Below is a relaxed structure of Ac2HfFeO6, with properties calculated at the GGA+U level.

a = 5.9113 Å, b = 5.7539 Å, c = 5.8691 Å
α = 60.73°, β = 59.97°, γ = 90.13°
Sites, in units of the cell vectors:
O (0.7974, 0.8020, 0.8945)
O (0.2026, 0.1980, 0.1055)
O (0.3534, 0.2587, 0.4805)
Fe (0.0000, 0.0000, 0.0000)
Ac (0.7648, 0.2528, 0.4936)
O (0.2026, 0.6951, 0.1069)
O (0.7974, 0.3049, 0.8931)
O (0.6466, 0.7413, 0.5195)
Ac (0.2352, 0.7472, 0.5064)
Hf (0.5000, 0.5000, 0.0000)

Results
- total magnetization (μB/f.u.) = 4.000
- electronic total energy (eV per atom) = -8.4265